DFT (GGA+U) results for an optimized crystal structure of DyCdMo2O8.

```
DyCdMo2O8
1.0
-2.619 2.619 5.640
2.619 -2.619 5.640
2.619 2.619 -5.640
Dy Cd Mo O
1 1 2 8
direct
0.000 0.000 0.000
0.250 0.750 0.500
0.500 0.500 0.000
0.750 0.250 0.500
0.005 0.079 0.409
0.243 0.657 0.065
0.343 0.408 0.586
0.404 0.995 0.074
0.592 0.178 0.935
0.670 0.596 0.591
0.822 0.757 0.414
0.921 0.330 0.926
```

Values from the calculation:
As for the total energy: -6.91 eV/atom. As for the symmetry: I-4.